{"formula": "SrGeSe2Br", "functional": "GGA-PBE", "state": "relaxed", "lattice": [[-5.533, 0.288, -1.620], [-1.556, -2.761, 4.825], [-0.523, 4.958, 2.669]], "species": ["Sr", "Ge", "Se", "Se", "Br"], "fractional_positions": [[0.000, 0.000, 0.000], [0.500, 0.500, 0.500], [0.000, 0.500, 0.000], [0.500, 0.000, 0.000], [0.000, 0.000, 0.500]], "e_form_raw_ev_per_atom": -0.027, "crystal_system": "tetragonal"}

{"formula": "Ba8Ag2Hg", "functional": "GGA-PBE", "state": "relaxed", "lattice": [[-5.664, -0.654, 4.742], [-4.634, 0.590, -7.850], [3.833, -8.225, 1.049]], "species": ["Ba", "Ba", "Ba", "Ba", "Ba", "Ba", "Ba", "Ba", "Ag", "Ag", "Hg"], "fractional_positions": [[0.587, 0.341, 0.077], [0.587, 0.077, 0.341], [0.177, 0.363, 0.363], [0.977, 0.212, 0.784], [0.977, 0.784, 0.212], [0.794, 0.649, 0.649], [0.366, 0.930, 0.657], [0.366, 0.657, 0.930], [0.489, 0.690, 0.320], [0.489, 0.320, 0.690], [0.191, 0.012, 0.012]], "crystal_system": "monoclinic", "ef_mev_per_atom": -127}

{"formula": "BaTi2Tl2", "functional": "GGA-PBE", "state": "relaxed", "lattice": [[-1.194, 5.968, -6.472], [6.421, -3.878, -4.760], [-2.165, -1.912, -1.363]], "species": ["Tl", "Tl", "Tl", "Tl", "Ba", "Ba", "Ti", "Ti", "Ti", "Ti"], "fractional_positions": [[0.178, 0.678, 0.500], [0.678, 0.822, 0.500], [0.822, 0.322, 0.500], [0.322, 0.178, 0.500], [0.000, 0.000, 0.000], [0.500, 0.500, 0.000], [0.389, 0.889, 0.000], [0.889, 0.611, 0.000], [0.611, 0.111, 0.000], [0.111, 0.389, 0.000]], "crystal_system": "tetragonal", "ef_mev_per_atom": 131}

Number 1: relative energy among the computed polymorphs 814 meV/atom, ρ 3.508 g/cm3. Number 2: relative energy among the computed polymorphs 26 meV/atom, ρ 4.585 g/cm3. Number 3: relative energy among the computed polymorphs 0 meV/atom, ρ 8.457 g/cm3.